# 1
The following is a DFT calculation (GGA-PBE) of crystalline Sr2Li2Ca at its relaxed geometry.

Summary:
The value obtained for the volume is 390.46 Å³ per cell. The value obtained for the formation energy is 2 kJ per mole of atoms.

abc: 9.1849 9.1849 4.6284
angles: 90.00 90.00 90.00
Positions (direct):
Sr1 0.1738 0.6738 0.5000
Sr2 0.6738 0.8262 0.5000
Sr3 0.8262 0.3262 0.5000
Sr4 0.3262 0.1738 0.5000
Ca1 0.0000 0.0000 0.0000
Ca2 0.5000 0.5000 0.0000
Li1 0.3804 0.8804 0.0000
Li2 0.8804 0.6196 0.0000
Li3 0.6196 0.1196 0.0000
Li4 0.1196 0.3804 0.0000

# 2
The following is a DFT calculation (GGA-PBE) of crystalline Cd2HgHPt at its relaxed geometry.

Summary:
The value obtained for the volume is 84.94 Å³ per cell.

abc: 4.9234 4.9234 3.5042
angles: 90.00 90.00 90.00
Positions (direct):
H1 0.0000 0.0000 0.0000
Hg1 0.5000 0.5000 0.5000
Pt1 0.0000 0.0000 0.5000
Cd1 0.0000 0.5000 0.0000
Cd2 0.5000 0.0000 0.0000

It is found that the energy above the lowest structure with this stoichiometry values, taken in the order of the records, are 0, 16 meV/atom.
It is found that the electronic total energy values, taken in the order of the records, are -1.82, -2.29 eV/atom.